Entry from Alexandria via LeMat-Bulk: BaCa3Rh after structural relaxation (PBE).

a = 8.4864 Å, b = 10.3364 Å, c = 8.8333 Å
α = 90.00°, β = 90.00°, γ = 90.00°
Closest atoms and distances in Å follow each position.
Space group Cmcm (No. 63)
Unique sites:
1 Ba 0.0000 0.2203 0.2500 x4  1 Rh 2.98
2 Ca 0.0000 0.2273 0.7500 x4  1 Rh 2.73
3 Ca 0.2096 0.5000 0.0000 x8  2 Rh 2.84
4 Rh 0.0000 0.4910 0.7500 x4  5 Ca 2.73-2.84, 1 Ba 2.98

Computed properties:
* energy above the lowest structure with this stoichiometry: 0.018 eV/atom
* magnetic moment: 0.00 μB per formula unit
* formation enthalpy at 0 K: -0.21 eV per atom



Entry from Alexandria via LeMat-Bulk: YNbTc after structural relaxation (PBE).

a = 3.3159 Å, b = 3.3159 Å, c = 11.0063 Å
α = 90.00°, β = 90.00°, γ = 90.00°
Closest atoms and distances in Å follow each position.
Space group I4mm (No. 107)
Unique sites:
1 Y 0.0000 0.0000 0.0000 x2  4 Tc 3.07, 5 Nb 3.23-3.28, 4 Y 3.32
2 Nb 0.0000 0.0000 0.2984 x2  4 Tc 2.68
3 Tc 0.0000 0.0000 0.6796 x2  4 Nb 2.68

Computed properties:
* energy above the lowest structure with this stoichiometry: 0.000 eV/atom
* magnetic moment: 0.00 μB per formula unit
* formation enthalpy at 0 K: -0.04 eV per atom



Entry from Alexandria via LeMat-Bulk: NaCa2CdO after structural relaxation (PBE).

a = 4.7511 Å, b = 4.7511 Å, c = 5.1188 Å
α = 90.00°, β = 90.00°, γ = 90.00°
Closest atoms and distances in Å follow each position.
Space group P4/mmm (No. 123)
Unique sites:
1 Na 0.0000 0.0000 0.0000 x1  2 O 2.56
2 Ca 0.0000 0.5000 0.5000 x2  2 O 2.38
3 Cd 0.5000 0.5000 0.0000 x1  4 Na 3.36, 8 Ca 3.49
4 O 0.0000 0.0000 0.5000 x1  4 Ca 2.38, 2 Na 2.56

Computed properties:
* magnetic moment: 0.00 μB per formula unit
* formation energy from raw total energies: -5.71 eV per formula unit



Entry from Alexandria via LeMat-Bulk: FePdBr2 after structural relaxation (PBE).

a = 5.8974 Å, b = 5.8974 Å, c = 10.3994 Å
α = 90.00°, β = 90.00°, γ = 90.00°
Closest atoms and distances in Å follow each position.
Space group I-42d (No. 122)
Unique sites:
1 Fe 0.0000 0.0000 0.0000 x4  4 Br 2.32
2 Pd 0.0000 0.0000 0.5000 x4  4 Br 2.61
3 Br 0.2079 0.2500 0.1250 x8  2 Fe 2.32

Computed properties:
* energy above the lowest structure with this stoichiometry: 0.135 eV/atom
* magnetic moment: 0.00 μB per formula unit
* formation energy from raw total energies: 1.58 eV per formula unit